# Sc2TaAu (PBE-GGA, optimized geometry)
data_Sc2TaAu
_cell_length_a 4.305
_cell_length_b 4.305
_cell_length_c 8.496
_cell_angle_alpha 90.00
_cell_angle_beta 90.00
_cell_angle_gamma 90.00
_space_group_name_H-M_alt 'I 4/m m m'
_space_group_IT_number 139
_space_group_name_Hall '-I 4 2'
loop_
_atom_site_label
_atom_site_fract_x
_atom_site_fract_y
_atom_site_fract_z
Sc1 0.000 0.500 0.250
Ta1 0.000 0.000 0.000
Au1 0.000 0.000 0.500
# Calculated density, g/cm³: 9.87
# Energy relative to the lowest polymorph listed for this composition, meV/atom: 230
# ΔE_f, kJ per mole of atoms: -7


# Y4Ni3Pd (PBE-GGA, optimized geometry)
data_Y4Ni3Pd
_cell_length_a 3.739
_cell_length_b 4.341
_cell_length_c 10.304
_cell_angle_alpha 90.00
_cell_angle_beta 90.00
_cell_angle_gamma 90.00
_space_group_name_H-M_alt 'P m m 2'
_space_group_IT_number 25
loop_
_space_group_symop_operation_xyz
'x,y,z'
'-x,-y,z'
'-x,y,z'
'x,-y,z'
loop_
_atom_site_label
_atom_site_fract_x
_atom_site_fract_y
_atom_site_fract_z
Y1 0.000 0.000 0.000
Y2 0.000 0.500 0.270
Y3 0.500 0.000 0.486
Y4 0.500 0.500 0.774
Ni1 0.000 0.500 0.551
Ni2 0.500 0.000 0.204
Ni3 0.500 0.500 0.062
Pd1 0.000 0.000 0.710
# Calculated density, g/cm³: 6.34
# ΔE_f, kJ per mole of atoms: -52


# ScCd4Hg (PBE-GGA, optimized geometry)
data_ScCd4Hg
_cell_length_a 6.293
_cell_length_b 8.542
_cell_length_c 5.038
_cell_angle_alpha 90.00
_cell_angle_beta 97.55
_cell_angle_gamma 90.00
_space_group_name_H-M_alt 'P 1 21/c 1'
_space_group_IT_number 14
loop_
_space_group_symop_operation_xyz
'x,y,z'
'-x,-y,-z'
'-x,y+1/2,-z+1/2'
'x,-y+1/2,z+1/2'
loop_
_atom_site_label
_atom_site_fract_x
_atom_site_fract_y
_atom_site_fract_z
Sc1 0.000 0.000 0.000
Cd1 0.240 0.169 0.529
Cd2 0.242 0.669 0.028
Hg1 0.500 0.000 0.000
# Calculated density, g/cm³: 8.60
# Energy relative to the lowest polymorph listed for this composition, meV/atom: 0
# ΔE_f, kJ per mole of atoms: -12


# GaPb2CS (PBE-GGA, optimized geometry)
data_GaPb2CS
_cell_length_a 5.558
_cell_length_b 5.558
_cell_length_c 4.556
_cell_angle_alpha 90.00
_cell_angle_beta 90.00
_cell_angle_gamma 90.00
_space_group_name_H-M_alt 'P 4/m m m'
_space_group_IT_number 123
_space_group_name_Hall '-P 4 2'
loop_
_atom_site_label
_atom_site_fract_x
_atom_site_fract_y
_atom_site_fract_z
Ga1 0.000 0.000 0.000
Pb1 0.000 0.500 0.000
C1 0.500 0.500 0.500
S1 0.000 0.000 0.500
# Energy relative to the elements, uncorrected, eV per formula unit: 7.34
# Calculated density, g/cm³: 6.23
# Energy relative to the lowest polymorph listed for this composition, meV/atom: 684